#i
Compound: Li3Ag3Pd
Source: Alexandria
Functional: PBE
Structure: optimized geometry

The structure belongs to space group C2/m (No. 12); the cell edges are 6.5127, 8.1079 and 9.0719 Å and the angles 90.00°, 90.16° and 90.00°. The distinct sites, in fractional coordinates, are Li at (0.1909, 0.1992, 0.2589), Li at (0.1928, 0.0000, 0.9299), Ag at (0.0000, 0.2876, 0.0000), Ag at (0.0000, 0.3164, 0.5000), Ag at (0.1474, 0.0000, 0.6077) and Pd at (0.0090, 0.5000, 0.7635).

The calculation puts the density of states at the Fermi level at 7.27 states/eV per cell.

=====

#ii
Compound: Li3Ag3Pd
Source: Alexandria
Functional: PBE
Structure: optimized geometry

The structure belongs to space group Cmmm (No. 65); the cell edges are 8.9736, 9.2381 and 5.8505 Å and the angles 90.00°, 90.00° and 90.00°. The distinct sites, in fractional coordinates, are Li at (0.0000, 0.1793, 0.0000), Li at (0.0000, 0.2397, 0.5000), Li at (0.2332, 0.0000, 0.5000), Ag at (0.0000, 0.5000, 0.2472), Ag at (0.2500, 0.2500, 0.2530) and Pd at (0.2296, 0.0000, 0.0000).

The calculation puts the density of states at the Fermi level at 4.76 states/eV per cell.

=====

Quick ranking, most stable first: #i, #ii.

=====

#i
Compound: LiAg3Pd4
Source: Alexandria
Functional: PBE
Structure: optimized geometry

The structure belongs to space group I4/mmm (No. 139); the cell edges are 3.9776, 3.9776 and 16.1713 Å and the angles 90.00°, 90.00° and 90.00°. The distinct sites, in fractional coordinates, are Li at (0.0000, 0.0000, 0.0000), Ag at (0.0000, 0.0000, 0.2503), Ag at (0.0000, 0.0000, 0.5000) and Pd at (0.0000, 0.5000, 0.1216).

The calculation puts the density of states at the Fermi level at 8.26 states/eV per cell.

=====

#ii
Compound: LiAg3Pd4
Source: Alexandria
Functional: PBE
Structure: optimized geometry

The structure belongs to space group Imm2 (No. 44); the cell edges are 5.4236, 8.8845 and 5.4427 Å and the angles 90.00°, 90.00° and 90.00°. The distinct sites, in fractional coordinates, are Li at (0.0000, 0.0000, 0.0000), Ag at (0.0000, 0.2371, 0.2667), Ag at (0.0000, 0.5000, 0.5231), Pd at (0.0000, 0.2397, 0.7725) and Pd at (0.2469, 0.5000, 0.0234).

The calculation puts the density of states at the Fermi level at 11.30 states/eV per cell.

=====

Quick ranking, most stable first: #i, #ii.

=====

#i
Compound: Li2AgPd
Source: Alexandria
Functional: PBE
Structure: optimized geometry

The structure belongs to space group C2/m (No. 12); the cell edges are 8.9138, 5.8420 and 4.4689 Å and the angles 90.00°, 90.12° and 90.00°. The distinct sites, in fractional coordinates, are Li at (0.1154, 0.2404, 0.2491), Ag at (0.1344, 0.5000, 0.7493) and Pd at (0.1349, 0.0000, 0.7489).

The calculation puts the density of states at the Fermi level at 2.59 states/eV per cell.

=====

#ii
Compound: Li2AgPd
Source: Alexandria
Functional: PBE
Structure: optimized geometry

The structure belongs to space group R3m (No. 160, hexagonal axes); the cell edges are 2.8820, 2.8820 and 25.6724 Å and the angles 90.00°, 90.00° and 120.00°. The distinct sites, in fractional coordinates, are Li at (0.0000, 0.0000, 0.0000), Li at (0.0000, 0.0000, 0.1559), Ag at (0.0000, 0.0000, 0.5781) and Pd at (0.0000, 0.0000, 0.7446).

The calculation puts the density of states at the Fermi level at 10.32 states/eV per cell.

=====

#iii
Compound: Li2AgPd
Source: Alexandria
Functional: PBE
Structure: optimized geometry

The structure belongs to space group P4/mmm (No. 123); the cell edges are 4.0698, 4.0698 and 3.5590 Å and the angles 90.00°, 90.00° and 90.00°. The distinct sites, in fractional coordinates, are Li at (0.0000, 0.5000, 0.0000), Ag at (0.0000, 0.0000, 0.5000) and Pd at (0.5000, 0.5000, 0.5000).

The calculation puts the density of states at the Fermi level at 1.24 states/eV per cell.

=====

#iv
Compound: Li2AgPd
Source: Alexandria
Functional: PBE
Structure: optimized geometry

The structure belongs to space group I-42d (No. 122); the cell edges are 6.8671, 6.8671 and 5.4381 Å and the angles 90.00°, 90.00° and 90.00°. The distinct sites, in fractional coordinates, are Li at (0.2408, 0.7500, 0.1250), Ag at (0.0000, 0.0000, 0.5000) and Pd at (0.0000, 0.0000, 0.0000).

The calculation puts the density of states at the Fermi level at 4.62 states/eV per cell.

=====

Quick ranking, most stable first: #iii, #i, #ii, #iv.

=====

#i
Compound: Li2AgPd
Source: Alexandria
Functional: PBE
Structure: optimized geometry

The structure belongs to space group Fm-3m (No. 225); the cell edges are 6.1388, 6.1388 and 6.1388 Å and the angles 90.00°, 90.00° and 90.00°. The distinct sites, in fractional coordinates, are Li at (0.2500, 0.2500, 0.2500), Ag at (0.0000, 0.0000, 0.0000) and Pd at (0.0000, 0.0000, 0.5000).

The calculation puts the density of states at the Fermi level at 4.56 states/eV per cell.

=====

#ii
Compound: Li2AgPd
Source: Alexandria
Functional: PBE
Structure: optimized geometry

The structure belongs to space group P4/mmm (No. 123); the cell edges are 2.9958, 2.9958 and 6.5018 Å and the angles 90.00°, 90.00° and 90.00°. The distinct sites, in fractional coordinates, are Li at (0.0000, 0.0000, 0.2314), Ag at (0.5000, 0.5000, 0.5000) and Pd at (0.5000, 0.5000, 0.0000).

The calculation puts the density of states at the Fermi level at 0.81 states/eV per cell.

=====

Quick ranking, most stable first: #i, #ii.

=====

#i
Compound: Li2AgPd
Source: Alexandria
Functional: PBE
Structure: optimized geometry

The structure belongs to space group C2/m (No. 12); the cell edges are 5.7715, 6.9619 and 2.9197 Å and the angles 90.00°, 90.14° and 90.00°. The distinct sites, in fractional coordinates, are Li at (0.2500, 0.2500, 0.0000), Ag at (0.0000, 0.0000, 0.5000) and Pd at (0.0000, 0.5000, 0.5000).

The calculation puts the density of states at the Fermi level at 2.64 states/eV per cell.

=====

#ii
Compound: Li2AgPd
Source: Alexandria
Functional: PBE
Structure: optimized geometry

The structure belongs to space group R-3m (No. 166, hexagonal axes); the cell edges are 2.8412, 2.8412 and 27.7801 Å and the angles 90.00°, 90.00° and 120.00°. The distinct sites, in fractional coordinates, are Li at (0.0000, 0.0000, 0.0944), Ag at (0.0000, 0.0000, 0.0000) and Pd at (0.0000, 0.0000, 0.5000).

The calculation puts the density of states at the Fermi level at 8.84 states/eV per cell.

=====

Quick ranking, most stable first: #i, #ii.

=====

#i
Compound: Li4Ag5Pd2
Source: Alexandria
Functional: PBE
Structure: optimized geometry

The structure belongs to space group Immm (No. 71); the cell edges are 4.7075, 8.0408 and 10.7429 Å and the angles 90.00°, 90.00° and 90.00°. The distinct sites, in fractional coordinates, are Li at (0.0000, 0.0000, 0.1356), Li at (0.0000, 0.2651, 0.5000), Ag at (0.0000, 0.3288, 0.2307), Ag at (0.0000, 0.5000, 0.0000) and Pd at (0.0000, 0.0000, 0.3604).

The calculation puts the density of states at the Fermi level at 7.17 states/eV per cell.

=====

#ii
Compound: Li4Ag5Pd2
Source: Alexandria
Functional: PBE
Structure: optimized geometry

The structure belongs to space group C2/m (No. 12); the cell edges are 9.1062, 4.1070 and 9.6606 Å and the angles 90.00°, 102.61° and 90.00°. The distinct sites, in fractional coordinates, are Li at (0.0519, 0.0000, 0.3143), Li at (0.1894, 0.5000, 0.7831), Ag at (0.0000, 0.5000, 0.5000), Ag at (0.1357, 0.0000, 0.9489), Ag at (0.2221, 0.0000, 0.5968) and Pd at (0.0858, 0.5000, 0.1387).

The calculation puts the density of states at the Fermi level at 8.35 states/eV per cell.

=====

Quick ranking, most stable first: #ii, #i.

=====

#i
Compound: Li2Ag5Pd4
Source: Alexandria
Functional: PBE
Structure: optimized geometry

The structure belongs to space group Immm (No. 71); the cell edges are 2.7918, 7.4020 and 17.9915 Å and the angles 90.00°, 90.00° and 90.00°. The distinct sites, in fractional coordinates, are Li at (0.0000, 0.0000, 0.0902), Ag at (0.0000, 0.2040, 0.3505), Ag at (0.0000, 0.5000, 0.0000), Pd at (0.0000, 0.0000, 0.2231) and Pd at (0.0000, 0.3146, 0.5000).

The calculation puts the density of states at the Fermi level at 6.26 states/eV per cell.

=====

#ii
Compound: Li2Ag5Pd4
Source: Alexandria
Functional: PBE
Structure: optimized geometry

The structure belongs to space group P-1 (No. 2); the cell edges are 4.8686, 4.9016 and 7.6246 Å and the angles 89.68°, 84.62° and 79.44°. The distinct sites, in fractional coordinates, are Li at (0.0400, 0.4064, 0.3116), Ag at (0.3126, 0.8693, 0.2306), Ag at (0.4030, 0.6835, 0.8636), Ag at (0.5000, 0.5000, 0.5000), Pd at (0.1355, 0.2287, 0.9478) and Pd at (0.2247, 0.0508, 0.5860).

The calculation puts the density of states at the Fermi level at 3.75 states/eV per cell.

=====

Quick ranking, most stable first: #ii, #i.

=====

#i
Compound: LiAg4Pd3
Source: Alexandria
Functional: PBE
Structure: optimized geometry

The structure belongs to space group C2/m (No. 12); the cell edges are 18.6744, 2.8502 and 4.9412 Å and the angles 90.00°, 95.59° and 90.00°. The distinct sites, in fractional coordinates, are Li at (0.0000, 0.0000, 0.0000), Ag at (0.1232, 0.0000, 0.3698), Ag at (0.1251, 0.5000, 0.8714), Pd at (0.0000, 0.5000, 0.5000) and Pd at (0.2491, 0.5000, 0.2509).

The calculation puts the density of states at the Fermi level at 6.41 states/eV per cell.

=====

#ii
Compound: LiAg4Pd3
Source: Alexandria
Functional: PBE
Structure: optimized geometry

The structure belongs to space group I4/mmm (No. 139); the cell edges are 4.0438, 4.0438 and 15.9696 Å and the angles 90.00°, 90.00° and 90.00°. The distinct sites, in fractional coordinates, are Li at (0.0000, 0.0000, 0.0000), Ag at (0.0000, 0.5000, 0.1239), Pd at (0.0000, 0.0000, 0.2508) and Pd at (0.0000, 0.0000, 0.5000).

The calculation puts the density of states at the Fermi level at 6.90 states/eV per cell.

=====

Quick ranking, most stable first: #ii, #i.

=====

#i
Compound: LiAg5Pd
Source: Alexandria
Functional: PBE
Structure: optimized geometry

The structure belongs to space group C2/c (No. 15); the cell edges are 9.6996, 9.3253 and 6.9730 Å and the angles 90.00°, 120.40° and 90.00°. The distinct sites, in fractional coordinates, are Li at (0.0000, 0.0241, 0.2500), Ag at (0.0000, 0.2835, 0.2500), Ag at (0.1102, 0.2067, 0.9791), Ag at (0.2069, 0.0942, 0.6568) and Pd at (0.0000, 0.5000, 0.0000).

The calculation puts the density of states at the Fermi level at 7.02 states/eV per cell.

=====

#ii
Compound: LiAg5Pd
Source: Alexandria
Functional: PBE
Structure: optimized geometry

The structure belongs to space group Cmcm (No. 63); the cell edges are 7.5135, 6.1774 and 10.8677 Å and the angles 90.00°, 90.00° and 90.00°. The distinct sites, in fractional coordinates, are Li at (0.0000, 0.1419, 0.2500), Ag at (0.0000, 0.4491, 0.7500), Ag at (0.1977, 0.1493, 0.6132) and Pd at (0.0000, 0.5000, 0.0000).

The calculation puts the density of states at the Fermi level at 4.56 states/eV per cell.

=====

Quick ranking, most stable first: #ii, #i.

=====

#i
Compound: Li8Ag3Pd2
Source: Alexandria
Functional: PBE
Structure: optimized geometry

The structure belongs to space group R-3m (No. 166, hexagonal axes); the cell edges are 5.0473, 5.0473 and 28.2725 Å and the angles 90.00°, 90.00° and 120.00°. The distinct sites, in fractional coordinates, are Li at (0.0000, 0.0000, 0.2179), Li at (0.0022, 0.5011, 0.7285), Ag at (0.0000, 0.0000, 0.3149), Ag at (0.0000, 0.0000, 0.5000) and Pd at (0.0000, 0.0000, 0.1340).

The calculation puts the density of states at the Fermi level at 12.65 states/eV per cell.

=====

#ii
Compound: Li8Ag3Pd2
Source: Alexandria
Functional: PBE
Structure: optimized geometry

The structure belongs to space group Cmmm (No. 65); the cell edges are 7.2510, 13.4999 and 4.5320 Å and the angles 90.00°, 90.00° and 90.00°. The distinct sites, in fractional coordinates, are Li at (0.0000, 0.1146, 0.0000), Li at (0.0000, 0.3116, 0.0000), Li at (0.1989, 0.3789, 0.5000), Ag at (0.0000, 0.0000, 0.5000), Ag at (0.1903, 0.5000, 0.0000) and Pd at (0.0000, 0.2161, 0.5000).

The calculation puts the density of states at the Fermi level at 8.77 states/eV per cell.

=====

Quick ranking, most stable first: #ii, #i.